Entry 1:
Nb2CuAgH PBE relaxed; energy = -5.27 eV/atom; density of states at the Fermi level = 4.92 states/eV per cell
1.0
-1.579 1.716 4.601
-1.433 -2.475 0.431
4.193 -2.044 2.201
H Nb Cu Ag
1 2 1 1
Direct
0.000 0.500 0.000
0.000 0.000 0.500
0.500 0.000 0.000
0.000 0.000 0.000
0.500 0.500 0.500

***

Entry 2:
SmDyAg4 PBE relaxed; energy of formation = -0.165 eV per atom; density of states at the Fermi level = 4.58 states/eV per cell
1.0
5.731 0.000 0.000
2.866 4.963 0.000
2.866 1.654 4.680
Ag Sm Dy
4 1 1
Direct
0.625 0.625 0.126
0.625 0.126 0.625
0.625 0.625 0.625
0.126 0.625 0.625
0.000 0.000 0.000
0.250 0.250 0.250

***

Entry 3:
WS2Br PBE relaxed; density of states at the Fermi level = 1.71 states/eV per cell; formation energy without anion corrections = 0.820 eV/atom
1.0
1.719 1.551 3.860
1.373 4.277 0.294
-2.331 2.947 2.479
S Br W
2 1 1
Direct
0.250 0.250 0.250
0.750 0.750 0.750
0.000 0.000 0.000
0.500 0.500 0.500

***

Entry 4:
TiGe2Br8 PBE relaxed; formation energy without anion corrections = -0.783 eV/atom
1.0
-1.519 -4.705 5.616
-4.879 -2.500 -5.543
5.344 -3.997 -4.032
Ti Ge Br
1 2 8
Direct
0.000 0.000 0.000
0.610 0.152 0.152
0.390 0.848 0.848
0.191 0.103 0.757
0.191 0.757 0.103
0.809 0.897 0.243
0.229 0.641 0.641
0.809 0.243 0.897
0.225 0.202 0.202
0.775 0.798 0.798
0.771 0.359 0.359